First-principles (PBE-GGA) data for a geometry-optimized BeSiP3 structure, as listed in Alexandria.

- Energy above the lowest structure with this stoichiometry: 0 meV per atom
- VASP energy: -0.1570 Ha/atom

abc: 4.2388 4.2388 4.2388
angles: 90.00 90.00 90.00
Space group Pm-3m (No. 221)
Symmetry-distinct sites (fractional):
Be: 0.0000 0.0000 0.0000 x1
Si: 0.5000 0.5000 0.5000 x1
P: 0.0000 0.0000 0.5000 x3



First-principles (PBE-GGA) data for a geometry-optimized BeSi2P structure, as listed in Alexandria.

- Energy above the lowest structure with this stoichiometry: 66 meV per atom
- VASP energy: -0.1762 Ha/atom

abc: 5.2523 5.2523 10.2893
angles: 90.00 90.00 90.00
Space group I-42d (No. 122)
Symmetry-distinct sites (fractional):
Be: 0.0000 0.0000 0.0000 x4
Si: 0.2329 0.2500 0.1250 x8
P: 0.0000 0.0000 0.5000 x4



The following magnetic moment values (in μB/atom) correspond, in order, to the records above: 0.00, 0.00.